Entry from Alexandria: a relaxed structure of CaLaAlAg (PBE).

Computed properties:
Calculated formation energy: -0.301 eV/atom
Fermi-level density of states: 3.10 states/eV/cell
Symmetry: No. 216

```
CaLaAlAg
1.0
0.000 3.777 3.777
3.777 0.000 3.777
3.777 3.777 0.000
Ca La Al Ag
1 1 1 1
Cartesian
0.000 0.000 0.000
3.777 3.777 3.777
5.666 5.666 5.666
1.889 1.889 1.889
```

***

Entry from Alexandria: a relaxed structure of K2ScRu (PBE).

Computed properties:
Calculated formation energy: 1.106 eV/atom
Distance to the lowest polymorph of the same formula: 824 meV per atom
Fermi-level density of states: 3.80 states/eV/cell
Symmetry: No. 123

```
K2ScRu
1.0
3.019 0.000 0.000
0.000 3.019 0.000
0.000 0.000 12.347
K Sc Ru
2 1 1
Cartesian
0.000 0.000 2.602
0.000 0.000 9.745
1.509 1.509 6.173
1.509 1.509 0.000
```

***

Entry from Alexandria: a relaxed structure of KAs3C (PBE).

Computed properties:
Calculated formation energy: 2.942 eV/atom
Distance to the lowest polymorph of the same formula: 2005 meV per atom
Fermi-level density of states: 6.88 states/eV/cell
Symmetry: No. 221

```
KAs3C
1.0
5.602 0.000 0.000
0.000 5.602 0.000
0.000 0.000 5.602
K As C
1 3 1
Cartesian
0.000 0.000 0.000
0.000 0.000 2.801
0.000 2.801 0.000
2.801 0.000 0.000
2.801 2.801 2.801
```

***

Entry from Alexandria: a relaxed structure of Ta2CoNi7As2 (PBE).

Computed properties:
Calculated formation energy: -0.036 eV/atom
Fermi-level density of states: 10.19 states/eV/cell
Symmetry: No. 12

```
Ta2CoNi7As2
1.0
2.483 -2.468 0.000
2.483 2.468 0.000
-0.055 0.000 13.112
Ta Co Ni As
2 1 7 2
Cartesian
0.002 0.000 3.731
4.910 0.000 9.381
2.483 0.000 0.000
0.000 0.000 0.000
1.244 1.234 1.769
1.133 0.000 6.535
3.668 1.234 11.344
1.244 -1.234 1.769
3.779 0.000 6.578
3.668 -1.234 11.344
2.426 0.000 8.486
2.486 0.000 4.627
```

***

Entry from Alexandria: a relaxed structure of HfCr2Os2 (PBE).

Computed properties:
Calculated formation energy: 0.055 eV/atom
Distance to the lowest polymorph of the same formula: 0 meV per atom
Fermi-level density of states: 13.53 states/eV/cell
Symmetry: No. 127

```
HfCr2Os2
1.0
7.263 0.000 0.000
0.000 7.263 0.000
0.000 0.000 2.796
Hf Cr Os
2 4 4
Cartesian
0.000 0.000 0.000
3.632 3.632 0.000
1.038 2.593 0.000
2.593 6.225 0.000
4.670 1.038 0.000
6.225 4.670 0.000
1.108 4.739 1.398
2.524 1.108 1.398
4.739 6.156 1.398
6.156 2.524 1.398
```

***

Entry from Alexandria: a relaxed structure of GaMo3Pd (PBE).

Computed properties:
Calculated formation energy: 1.869 eV/atom
Distance to the lowest polymorph of the same formula: 357 meV per atom
Fermi-level density of states: 6.01 states/eV/cell
Symmetry: No. 221

```
GaMo3Pd
1.0
4.730 0.000 0.000
0.000 4.730 0.000
0.000 0.000 4.730
Ga Mo Pd
1 3 1
Cartesian
0.000 0.000 0.000
0.000 2.365 2.365
2.365 0.000 2.365
2.365 2.365 0.000
2.365 2.365 2.365
```

***

Entry from Alexandria: a relaxed structure of As2Pd8S (PBE).

Computed properties:
Energy relative to the elements, uncorrected: -0.27 eV/atom
Fermi-level density of states: 6.71 states/eV/cell
Symmetry: No. 12

```
As2Pd8S
1.0
7.197 -1.897 0.000
7.197 1.897 0.000
-1.371 0.000 6.368
As Pd S
2 8 1
Cartesian
2.382 0.000 1.358
10.640 0.000 5.010
-0.201 0.000 1.700
1.714 0.000 5.241
4.090 0.000 3.275
4.476 0.000 6.271
8.547 0.000 0.097
8.933 0.000 3.093
11.309 0.000 1.127
13.224 0.000 4.668
6.511 0.000 3.184
```

***

Entry from Alexandria: a relaxed structure of CaIr2Os (PBE).

Computed properties:
Calculated formation energy: 0.023 eV/atom
Distance to the lowest polymorph of the same formula: 0 meV per atom
Fermi-level density of states: 3.26 states/eV/cell
Symmetry: No. 123

```
CaIr2Os
1.0
2.849 0.000 0.000
0.000 2.849 0.000
0.000 0.000 8.226
Ca Ir Os
1 2 1
Cartesian
0.000 0.000 0.000
1.425 1.425 2.350
1.425 1.425 5.876
0.000 0.000 4.113
```

***

The evaluated electronic total energy for the records listed, in turn: -3.68; -3.34; -1.91; -6.75; -10.28; -6.27; -5.26; -7.71 eV per atom.